1.
An optimized crystal structure of Si3Ir, computed with GGA-PBEsol.

Output
V	57.2	Å³/f.u.
ΔE_f (raw)	-0.011	eV per atom
SG	P-6m2, No. 187
raw total energy	-6.777	eV per atom

abc: 3.0015 3.0015 7.3272
angles: 90.00 90.00 120.00
Fractional positions:
Si1 0.0000 0.0000 0.0000
Si2 0.3333 0.6667 0.2585
Si3 0.3333 0.6667 0.7415
Ir1 0.0000 0.0000 0.5000

***

2.
An optimized crystal structure of Si3Ir, computed with GGA-PBEsol.

Output
V	56.5	Å³/f.u.
ΔE_f (raw)	-0.008	eV per atom
SG	Pmm2, No. 25
raw total energy	-6.774	eV per atom

abc: 2.9105 4.8242 4.0272
angles: 90.00 90.00 90.00
Fractional positions:
Si1 0.0000 0.0000 0.0000
Si2 0.0000 0.5000 0.2130
Si3 0.5000 0.5000 0.7013
Ir1 0.5000 0.0000 0.5201

***

3.
An optimized crystal structure of Si2Ir3, computed with GGA-PBEsol.

Output
V	70.2	Å³/f.u.
ΔE_f (raw)	-0.650	eV per atom
SG	P-3m1, No. 164
raw total energy	-8.843	eV per atom

abc: 3.9785 3.9785 5.1175
angles: 90.00 90.00 120.00
Fractional positions:
Si1 0.3333 0.6667 0.2978
Si2 0.6667 0.3333 0.7022
Ir1 0.0000 0.0000 0.5000
Ir2 0.3333 0.6667 0.8269
Ir3 0.6667 0.3333 0.1731

***

4.
An optimized crystal structure of Si2Ir3, computed with GGA-PBEsol.

Output
V	74.5	Å³/f.u.
ΔE_f (raw)	-0.204	eV per atom
SG	P-6m2, No. 187
raw total energy	-8.397	eV per atom

abc: 4.0056 4.0056 5.3610
angles: 90.00 90.00 120.00
Fractional positions:
Si1 0.0000 0.0000 0.0000
Si2 0.3333 0.6667 0.5000
Ir1 0.0000 0.0000 0.5000
Ir2 0.6667 0.3333 0.2355
Ir3 0.6667 0.3333 0.7645

***

DOS(E_F) values (in states/eV/f.u.) by entry order: 1.30, 2.16, 0.95, 3.20.